Entry 1:
First-principles (PBE) data for Pm5Cd2Ga2 after structural relaxation, as listed in Alexandria via LeMat-Bulk.

```
Pm5Cd2Ga2
1.0
8.4307 -3.9269 0.0000
8.4307 3.9269 0.0000
0.0000 0.0000 7.7716
Pm Cd Ga
10 4 4
Direct
0.0000 0.0000 0.0000
0.0576 0.6813 0.6805
0.1813 0.5576 0.1805
0.3187 0.9424 0.6805
0.4424 0.8187 0.1805
0.5000 0.5000 0.5000
0.5576 0.1813 0.8195
0.6813 0.0576 0.3195
0.8187 0.4424 0.8195
0.9424 0.3187 0.3195
0.2210 0.2210 0.0000
0.2790 0.2790 0.5000
0.7210 0.7210 0.5000
0.7790 0.7790 0.0000
0.1156 0.8844 0.3840
0.3844 0.6156 0.8840
0.6156 0.3844 0.1160
0.8844 0.1156 0.6160
```

Output
Fermi-level density of states ... 16.61 states/eV/cell
Calculated formation energy ... -371 meV/atom
Calculated total energy ... -69.95 eV per cell

Entry 2:
First-principles (PBE) data for K2Dy2IrO6 after structural relaxation, as listed in Alexandria via LeMat-Bulk.

```
K2Dy2IrO6
1.0
2.8996 -4.9740 0.0000
2.8996 4.9740 0.0000
-1.7405 0.0000 6.3510
K Dy Ir O
2 2 1 6
Direct
0.1600 0.8400 0.0000
0.8400 0.1600 0.0000
0.3358 0.6642 0.5000
0.6642 0.3358 0.5000
0.0000 0.0000 0.5000
0.0482 0.3605 0.6729
0.2519 0.2519 0.3228
0.3605 0.0482 0.6729
0.6395 0.9518 0.3271
0.7481 0.7481 0.6772
0.9518 0.6395 0.3271
```

Output
Fermi-level density of states ... 7.70 states/eV/cell
Calculated total energy ... -73.80 eV per cell
Formation energy from raw total energies ... -2.163 eV/atom

Entry 3:
First-principles (PBE) data for Sr2ZnCu2Pd5 after structural relaxation, as listed in Alexandria via LeMat-Bulk.

```
Sr2ZnCu2Pd5
1.0
9.7966 0.0000 0.0000
0.0000 9.7966 0.0000
0.0000 0.0000 3.8143
Sr Zn Cu Pd
4 2 4 10
Direct
0.1770 0.3230 0.0000
0.3230 0.8230 0.0000
0.6770 0.1770 0.0000
0.8230 0.6770 0.0000
0.0000 0.0000 0.0000
0.5000 0.5000 0.0000
0.1225 0.6225 0.0000
0.3775 0.1225 0.0000
0.6225 0.8775 0.0000
0.8775 0.3775 0.0000
0.0000 0.5000 0.5000
0.0598 0.7998 0.5000
0.2002 0.0598 0.5000
0.2998 0.5598 0.5000
0.4402 0.2998 0.5000
0.5000 0.0000 0.5000
0.5598 0.7002 0.5000
0.7002 0.4402 0.5000
0.7998 0.9402 0.5000
0.9402 0.2002 0.5000
```

Output
Fermi-level density of states ... 3.65 states/eV/cell
Calculated formation energy ... -419 meV/atom
Calculated total energy ... -85.97 eV per cell

Entry 4:
First-principles (PBE) data for CoAs2Ru after structural relaxation, as listed in Alexandria via LeMat-Bulk.

```
CoAs2Ru
1.0
3.9175 -1.6266 0.0000
3.9175 1.6266 0.0000
-1.1849 0.0000 4.7788
Co As Ru
1 2 1
Direct
0.0000 0.0000 0.0000
0.4752 0.4752 0.3610
0.7017 0.7017 0.9407
0.2130 0.2130 0.5682
```

Output
Fermi-level density of states ... 2.96 states/eV/cell
Calculated formation energy ... -58 meV/atom
Calculated total energy ... -25.91 eV per cell

Entry 5:
First-principles (PBE) data for Li2SmAlSn2 after structural relaxation, as listed in Alexandria via LeMat-Bulk.

```
Li2SmAlSn2
1.0
4.4647 0.0000 0.0000
0.0000 8.4310 0.0000
0.0000 0.0000 7.5028
Li Sm Al Sn
4 2 2 4
Direct
0.0000 0.0776 0.0000
0.0000 0.9224 0.5000
0.5000 0.1652 0.3327
0.5000 0.8348 0.8327
0.5000 0.4428 0.9658
0.5000 0.5572 0.4658
0.0000 0.3212 0.6365
0.0000 0.6788 0.1365
0.0000 0.3521 0.2524
0.0000 0.6479 0.7524
0.5000 0.1440 0.7105
0.5000 0.8560 0.2105
```

Output
Fermi-level density of states ... 2.18 states/eV/cell
Calculated formation energy ... -440 meV/atom
Calculated total energy ... -45.87 eV per cell

Entry 6:
First-principles (PBE) data for TlNiAu2 after structural relaxation, as listed in Alexandria via LeMat-Bulk.

```
TlNiAu2
1.0
4.3858 -1.6318 0.0000
4.3858 1.6318 0.0000
-1.3289 0.0000 5.1853
Tl Ni Au
1 1 2
Direct
0.0000 0.0000 0.0000
0.7397 0.7397 0.2549
0.2364 0.2364 0.7047
0.4784 0.4784 0.4552
```

Output
Fermi-level density of states ... 1.49 states/eV/cell
Calculated formation energy ... 197 meV/atom
Calculated total energy ... -13.92 eV per cell

Entry 7:
First-principles (PBE) data for CdHg2Br after structural relaxation, as listed in Alexandria via LeMat-Bulk.

```
CdHg2Br
1.0
0.0000 3.8371 3.8371
3.8371 0.0000 3.8371
3.8371 3.8371 0.0000
Cd Hg Br
1 2 1
Direct
0.0000 0.0000 0.0000
0.2500 0.2500 0.2500
0.7500 0.7500 0.7500
0.5000 0.5000 0.5000
```

Output
Fermi-level density of states ... 2.61 states/eV/cell
Calculated total energy ... -3.25 eV per cell
Formation energy from raw total energies ... -0.014 eV/atom

Entry 8:
First-principles (PBE) data for CaTe2Ru after structural relaxation, as listed in Alexandria via LeMat-Bulk.

```
CaTe2Ru
1.0
3.4665 0.0000 0.0000
0.0000 5.0748 0.0000
0.0000 0.0000 5.0984
Ca Te Ru
1 2 1
Direct
0.0000 0.0000 0.0000
0.5000 0.0000 0.5000
0.5000 0.5000 0.0000
0.0000 0.5000 0.5000
```

Output
Fermi-level density of states ... 3.54 states/eV/cell
Calculated total energy ... -18.55 eV per cell
Formation energy from raw total energies ... -0.248 eV/atom

Entry 9:
First-principles (PBE) data for Na3Cr2NiSe6 after structural relaxation, as listed in Alexandria via LeMat-Bulk.

```
Na3Cr2NiSe6
1.0
3.2439 -5.6229 0.0000
3.2439 5.6229 0.0000
-2.1678 0.0000 6.8299
Na Cr Ni Se
3 2 1 6
Direct
0.0000 0.0000 0.0000
0.3332 0.6668 0.0000
0.6668 0.3332 0.0000
0.1666 0.8334 0.5000
0.8334 0.1666 0.5000
0.5000 0.5000 0.5000
0.1074 0.4346 0.3039
0.2381 0.2381 0.6954
0.4346 0.1074 0.3039
0.5654 0.8926 0.6961
0.7619 0.7619 0.3046
0.8926 0.5654 0.6961
```

Output
Fermi-level density of states ... 4.88 states/eV/cell
Calculated total energy ... -58.07 eV per cell
Formation energy from raw total energies ... -0.681 eV/atom

Entry 10:
First-principles (PBE) data for Dy3Ga3Os2 after structural relaxation, as listed in Alexandria via LeMat-Bulk.

```
Dy3Ga3Os2
1.0
7.9644 0.0000 0.0000
0.0000 15.0411 0.0000
0.0000 0.0000 5.6169
Dy Ga Os
12 12 8
Direct
0.0510 0.1082 0.1085
0.0510 0.3918 0.1085
0.1955 0.2500 0.6323
0.3045 0.7500 0.1323
0.4490 0.6082 0.6085
0.4490 0.8918 0.6085
0.5510 0.1082 0.3915
0.5510 0.3918 0.3915
0.6955 0.2500 0.8677
0.8045 0.7500 0.3677
0.9490 0.6082 0.8915
0.9490 0.8918 0.8915
0.1475 0.7500 0.6146
0.1844 0.0393 0.6130
0.1844 0.4607 0.6130
0.3156 0.5393 0.1130
0.3156 0.9607 0.1130
0.3525 0.2500 0.1146
0.6475 0.7500 0.8854
0.6844 0.0393 0.8870
0.6844 0.4607 0.8870
0.8156 0.5393 0.3870
0.8156 0.9607 0.3870
0.8525 0.2500 0.3854
0.1069 0.6028 0.3928
0.1069 0.8972 0.3928
0.3931 0.1028 0.8928
0.3931 0.3972 0.8928
0.6069 0.6028 0.1072
0.6069 0.8972 0.1072
0.8931 0.1028 0.6072
0.8931 0.3972 0.6072
```

Output
Fermi-level density of states ... 20.83 states/eV/cell
Calculated formation energy ... -464 meV/atom
Calculated total energy ... -196.24 eV per cell

Entry 11:
First-principles (PBE) data for PmCdGaBi after structural relaxation, as listed in Alexandria via LeMat-Bulk.

```
PmCdGaBi
1.0
0.0000 3.7620 3.7620
3.7620 0.0000 3.7620
3.7620 3.7620 0.0000
Pm Cd Ga Bi
1 1 1 1
Direct
0.0000 0.0000 0.0000
0.5000 0.5000 0.5000
0.7500 0.7500 0.7500
0.2500 0.2500 0.2500
```

Output
Fermi-level density of states ... 4.77 states/eV/cell
Calculated formation energy ... -189 meV/atom
Calculated total energy ... -13.33 eV per cell

Entry 12:
First-principles (PBE) data for BeGe3Br after structural relaxation, as listed in Alexandria via LeMat-Bulk.

```
BeGe3Br
1.0
5.1427 0.0000 0.0000
0.0000 5.1427 0.0000
0.0000 0.0000 5.1427
Be Ge Br
1 3 1
Direct
0.0000 0.0000 0.0000
0.0000 0.5000 0.5000
0.5000 0.0000 0.5000
0.5000 0.5000 0.0000
0.5000 0.5000 0.5000
```

Output
Fermi-level density of states ... 3.83 states/eV/cell
Calculated total energy ... -12.21 eV per cell
Formation energy from raw total energies ... 1.408 eV/atom

Entry 13:
First-principles (PBE) data for Cs2K2SI2 after structural relaxation, as listed in Alexandria via LeMat-Bulk.

```
Cs2K2SI2
1.0
-2.9869 2.9869 10.0564
2.9869 -2.9869 10.0564
2.9869 2.9869 -10.0564
Cs K S I
2 2 1 2
Direct
0.1646 0.1646 0.0000
0.8354 0.8354 0.0000
0.0000 0.5000 0.5000
0.5000 0.0000 0.5000
0.0000 0.0000 0.0000
0.3633 0.3633 0.0000
0.6367 0.6367 0.0000
```

Output
Fermi-level density of states ... 0.00 states/eV/cell
Calculated total energy ... -20.19 eV per cell
Formation energy from raw total energies ... -1.295 eV/atom

Entry 14:
First-principles (PBE) data for Tc2GeAu2 after structural relaxation, as listed in Alexandria via LeMat-Bulk.

```
Tc2GeAu2
1.0
6.3566 0.0000 0.0000
0.0000 6.3566 0.0000
0.0000 0.0000 4.2818
Tc Ge Au
4 2 4
Direct
0.1310 0.3690 0.0000
0.3690 0.8690 0.0000
0.6310 0.1310 0.0000
0.8690 0.6310 0.0000
0.0000 0.0000 0.0000
0.5000 0.5000 0.0000
0.1710 0.6710 0.5000
0.3290 0.1710 0.5000
0.6710 0.8290 0.5000
0.8290 0.3290 0.5000
```

Output
Fermi-level density of states ... 9.06 states/eV/cell
Calculated formation energy ... 223 meV/atom
Calculated total energy ... -61.58 eV per cell

Entry 15:
First-principles (PBE) data for RbOsNF2 after structural relaxation, as listed in Alexandria via LeMat-Bulk.

```
RbOsNF2
1.0
4.4905 0.0000 0.0000
0.0000 4.4905 0.0000
0.0000 0.0000 3.7642
Rb Os N F
1 1 1 2
Direct
0.0000 0.0000 0.0000
0.5000 0.5000 0.5000
0.5000 0.5000 0.0000
0.0000 0.5000 0.5000
0.5000 0.0000 0.5000
```

Output
Fermi-level density of states ... 4.20 states/eV/cell
Calculated total energy ... -28.96 eV per cell
Formation energy from raw total energies ... -0.939 eV/atom

Entry 16:
First-principles (PBE) data for KScIn2 after structural relaxation, as listed in Alexandria via LeMat-Bulk.

```
KScIn2
1.0
3.4666 0.0000 0.0000
0.0000 3.4666 0.0000
0.0000 0.0000 10.1361
K Sc In
1 1 2
Direct
0.0000 0.0000 0.0000
0.5000 0.5000 0.3335
0.0000 0.0000 0.5154
0.5000 0.5000 0.7242
```

Output
Fermi-level density of states ... 2.74 states/eV/cell
Calculated formation energy ... 48 meV/atom
Calculated total energy ... -12.71 eV per cell

Entry 17:
First-principles (PBE) data for ReSe2Br after structural relaxation, as listed in Alexandria via LeMat-Bulk.

```
ReSe2Br
1.0
-3.4139 3.4139 4.9134
3.4139 -3.4139 4.9134
3.4139 3.4139 -4.9134
Re Se Br
2 4 2
Direct
0.0000 0.0000 0.0000
0.7500 0.2500 0.5000
0.0288 0.6250 0.9038
0.3750 0.2788 0.4038
0.7212 0.1250 0.0962
0.8750 0.9712 0.5962
0.2500 0.7500 0.5000
0.5000 0.5000 0.0000
```

Output
Fermi-level density of states ... 5.58 states/eV/cell
Calculated total energy ... -40.30 eV per cell
Formation energy from raw total energies ... 0.235 eV/atom

Entry 18:
First-principles (PBE) data for Sb after structural relaxation, as listed in Alexandria via LeMat-Bulk.

```
Sb
1.0
-4.1114 4.1114 2.0240
4.1114 -4.1114 2.0240
4.1114 4.1114 -2.0240
Sb
4
Direct
0.1499 0.6499 0.7998
0.3501 0.1499 0.5000
0.6499 0.8501 0.5000
0.8501 0.3501 0.2002
```

Output
Fermi-level density of states ... 3.11 states/eV/cell
Calculated total energy ... -15.42 eV per cell
Formation energy from raw total energies ... 0.267 eV/atom

Entry 19:
First-principles (PBE) data for MnCd3S after structural relaxation, as listed in Alexandria via LeMat-Bulk.

```
MnCd3S
1.0
5.1699 0.0000 0.0000
0.0000 5.1699 0.0000
0.0000 0.0000 5.1699
Mn Cd S
1 3 1
Direct
0.0000 0.0000 0.0000
0.0000 0.0000 0.5000
0.0000 0.5000 0.0000
0.5000 0.0000 0.0000
0.5000 0.5000 0.5000
```

Output
Fermi-level density of states ... 4.62 states/eV/cell
Calculated total energy ... -12.56 eV per cell
Formation energy from raw total energies ... 0.696 eV/atom

Entry 20:
First-principles (PBE) data for Pr4ErTm after structural relaxation, as listed in Alexandria via LeMat-Bulk.

```
Pr4ErTm
1.0
5.8848 -5.8853 0.0000
5.8848 5.8853 0.0000
0.0000 0.0000 3.5008
Pr Er Tm
4 1 1
Direct
0.2388 0.7612 0.0000
0.2604 0.2604 0.5000
0.7396 0.7396 0.5000
0.7612 0.2388 0.0000
0.5000 0.5000 0.0000
0.0000 0.0000 0.5000
```

Output
Fermi-level density of states ... 10.43 states/eV/cell
Calculated formation energy ... 596 meV/atom
Calculated total energy ... -24.58 eV per cell

Entry 21:
First-principles (PBE) data for Pr8Tm2Cd after structural relaxation, as listed in Alexandria via LeMat-Bulk.

```
Pr8Tm2Cd
1.0
8.9539 -2.8059 0.0000
8.9539 2.8059 0.0000
-3.1871 0.0000 7.5259
Pr Tm Cd
8 2 1
Direct
0.0135 0.0135 0.2491
0.1754 0.1754 0.7180
0.3360 0.3360 0.5903
0.3884 0.3884 0.0671
0.6116 0.6116 0.9329
0.6640 0.6640 0.4097
0.8246 0.8246 0.2820
0.9865 0.9865 0.7509
0.1944 0.1944 0.1567
0.8056 0.8056 0.8433
0.5000 0.5000 0.5000
```

Output
Fermi-level density of states ... 15.98 states/eV/cell
Calculated formation energy ... 36 meV/atom
Calculated total energy ... -47.69 eV per cell

Entry 22:
First-principles (PBE) data for PrHf2 after structural relaxation, as listed in Alexandria via LeMat-Bulk.

```
PrHf2
1.0
-1.6182 1.6182 7.6029
1.6182 -1.6182 7.6029
1.6182 1.6182 -7.6029
Pr Hf
1 2
Direct
0.0000 0.0000 0.0000
0.3165 0.3165 0.0000
0.6835 0.6835 0.0000
```

Output
Fermi-level density of states ... 2.79 states/eV/cell
Calculated formation energy ... 153 meV/atom
Calculated total energy ... -24.23 eV per cell

Entry 23:
First-principles (PBE) data for Ta3NbSn after structural relaxation, as listed in Alexandria via LeMat-Bulk.

```
Ta3NbSn
1.0
4.8988 0.0000 0.0000
0.0000 4.8988 0.0000
0.0000 0.0000 4.8988
Ta Nb Sn
3 1 1
Direct
0.0000 0.0000 0.5000
0.0000 0.5000 0.0000
0.5000 0.0000 0.0000
0.0000 0.0000 0.0000
0.5000 0.5000 0.5000
```

Output
Fermi-level density of states ... 3.98 states/eV/cell
Calculated formation energy ... 1450 meV/atom
Calculated total energy ... -42.38 eV per cell

Entry 24:
First-principles (PBE) data for Y2CdIn3 after structural relaxation, as listed in Alexandria via LeMat-Bulk.

```
Y2CdIn3
1.0
0.0000 4.9536 8.5760
3.5699 0.0000 8.5760
3.5699 4.9536 0.0000
Y Cd In
4 2 6
Direct
0.2500 0.2500 0.2500
0.2500 0.7500 0.7500
0.7500 0.2500 0.2500
0.7500 0.7500 0.7500
0.1668 0.1668 0.8332
0.8332 0.8332 0.1668
0.1643 0.6677 0.3323
0.3318 0.3318 0.6682
0.3323 0.8357 0.1643
0.6677 0.1643 0.8357
0.6682 0.6682 0.3318
0.8357 0.3323 0.6677
```

Output
Fermi-level density of states ... 6.64 states/eV/cell
Calculated formation energy ... -421 meV/atom
Calculated total energy ... -49.16 eV per cell